! Cs2Tl2Cl, PBEsol geometry, DFT meta-GGA SCAN; values from VASP
! Volume, Å³/atom: 39.814
! Space group: I4/mmm, No. 139
! Raw formation energy, kcal/mol of atoms: -21.02
! Crystal system: tetragonal
! N(E_F), states/eV per atom: 0.317
&SYSTEM
  ibrav = 0, nat = 5, ntyp = 3
/
ATOMIC_SPECIES
Tl 204.38 Tl.upf
Cs 132.91 Cs.upf
Cl 35.45 Cl.upf
ATOMIC_POSITIONS crystal
Tl 0.7500 0.2500 0.5000
Tl 0.2500 0.7500 0.5000
Cs 0.5893 0.5893 0.1787
Cs 0.4107 0.4107 0.8213
Cl 0.0000 0.0000 0.0000
CELL_PARAMETERS angstrom
-3.0978 -1.3711 -2.6690
2.9975 -1.5865 -2.6642
-0.2844 -7.8738 7.8595



! LaCeN2, PBEsol geometry, DFT meta-GGA SCAN; values from VASP
! Volume, Å³/atom: 16.584
! Space group: R-3m, No. 166
! Raw formation energy, kcal/mol of atoms: -38.33
! Crystal system: trigonal
! N(E_F), states/eV per atom: 0.561
&SYSTEM
  ibrav = 0, nat = 4, ntyp = 3
/
ATOMIC_SPECIES
Ce 140.12 Ce.upf
La 138.91 La.upf
N 14.01 N.upf
ATOMIC_POSITIONS crystal
Ce 0.5000 0.5000 0.5000
La 0.0000 0.0000 0.0000
N 0.2414 0.2414 0.2758
N 0.7586 0.7586 0.7242
CELL_PARAMETERS angstrom
3.5988 0.0000 0.0000
1.7994 3.1167 0.0000
1.7994 1.0389 5.9144



! HoAl10Ru2, PBEsol geometry, DFT meta-GGA SCAN; values from VASP
! Volume, Å³/atom: 15.959
! Space group: Cmcm, No. 63
! Energy relative to the elements, eV per atom: -0.60
! Crystal system: orthorhombic
! N(E_F), states/eV per atom: 0.306
&SYSTEM
  ibrav = 0, nat = 26, ntyp = 3
/
ATOMIC_SPECIES
Al 26.98 Al.upf
Ho 164.93 Ho.upf
Ru 101.07 Ru.upf
ATOMIC_POSITIONS crystal
Al 0.6237 0.3763 0.9505
Al 0.7751 0.7751 0.0000
Al 0.3763 0.6237 0.4505
Al 0.2249 0.2249 0.5000
Al 0.5863 0.8583 0.2500
Al 0.3763 0.6237 0.0495
Al 0.6237 0.3763 0.5495
Al 0.8440 0.1560 0.4000
Al 0.2187 0.4793 0.7500
Al 0.4793 0.2187 0.2500
Al 0.7813 0.5207 0.2500
Al 0.5207 0.7813 0.7500
Al 0.8583 0.5863 0.7500
Al 0.1560 0.8440 0.9000
Al 0.1417 0.4137 0.2500
Al 0.8440 0.1560 0.1000
Al 0.1560 0.8440 0.6000
Al 0.7751 0.7751 0.5000
Al 0.4137 0.1417 0.7500
Al 0.2249 0.2249 0.0000
Ho 0.1281 0.8719 0.2500
Ho 0.8719 0.1281 0.7500
Ru 0.0000 0.5000 0.5000
Ru 0.0000 0.5000 0.0000
Ru 0.5000 0.0000 0.0000
Ru 0.5000 0.0000 0.5000
CELL_PARAMETERS angstrom
-3.0148 1.9825 -5.7567
3.0713 -5.4975 -2.5501
-7.2501 -5.0112 2.0712



! CaTe2OsI, PBEsol geometry, DFT meta-GGA SCAN; values from VASP
! Volume, Å³/atom: 36.853
! Space group: P4/mmm, No. 123
! Raw formation energy, kcal/mol of atoms: 27.98
! Crystal system: tetragonal
! N(E_F), states/eV per atom: 0.834
&SYSTEM
  ibrav = 0, nat = 5, ntyp = 4
/
ATOMIC_SPECIES
Ca 40.08 Ca.upf
I 126.90 I.upf
Te 127.60 Te.upf
Os 190.23 Os.upf
ATOMIC_POSITIONS crystal
Ca 0.0000 0.0000 0.0000
I 0.5000 0.0000 0.0000
Te 0.0000 0.0000 0.5000
Te 0.0000 0.5000 0.0000
Os 0.5000 0.5000 0.5000
CELL_PARAMETERS angstrom
5.6251 0.0000 0.0000
0.0000 5.7234 0.0000
0.0000 0.0000 5.7234



! LiTiSiO4, PBEsol geometry, DFT meta-GGA SCAN; values from VASP
! Volume, Å³/atom: 10.114
! Space group: Pnma, No. 62
! Raw formation energy, kcal/mol of atoms: -68.00
! Crystal system: orthorhombic
&SYSTEM
  ibrav = 0, nat = 28, ntyp = 4
/
ATOMIC_SPECIES
Li 6.94 Li.upf
O 16.00 O.upf
Ti 47.87 Ti.upf
Si 28.09 Si.upf
ATOMIC_POSITIONS crystal
Li 0.0001 0.2501 0.2498
Li 0.4999 0.7499 0.7498
Li 0.5001 0.2499 0.7502
Li 0.9999 0.7501 0.2502
O 0.6936 0.0000 0.3033
O 0.7901 0.7848 0.5760
O 0.1936 0.5000 0.6967
O 0.2099 0.2848 0.9240
O 0.8064 0.0000 0.8033
O 0.2173 0.0000 0.1522
O 0.3064 0.5000 0.1967
O 0.7099 0.7848 0.0760
O 0.7901 0.2152 0.5760
O 0.7173 0.5000 0.8478
O 0.2901 0.2848 0.4240
O 0.2827 0.0000 0.6522
O 0.2901 0.7152 0.4240
O 0.2099 0.7152 0.9240
O 0.7827 0.5000 0.3478
O 0.7099 0.2152 0.0760
Ti 0.0003 0.5000 0.5226
Ti 0.5003 0.0000 0.4774
Ti 0.9997 0.0000 0.9774
Ti 0.4997 0.5000 0.0226
Si 0.5569 0.0000 0.1564
Si 0.9431 0.0000 0.6564
Si 0.4431 0.5000 0.3436
Si 0.0569 0.5000 0.8436
CELL_PARAMETERS angstrom
4.7494 0.0000 0.0000
0.0000 5.8471 0.0000
0.0000 0.0000 10.1973



! YTaTc2, PBEsol geometry, DFT meta-GGA SCAN; values from VASP
! Volume, Å³/atom: 17.524
! Space group: I-4m2, No. 119
! Energy relative to the elements, eV per atom: 0.28
! Crystal system: tetragonal
! N(E_F), states/eV per atom: 0.974
&SYSTEM
  ibrav = 0, nat = 4, ntyp = 3
/
ATOMIC_SPECIES
Tc 98.00 Tc.upf
Y 88.91 Y.upf
Ta 180.95 Ta.upf
ATOMIC_POSITIONS crystal
Tc 0.0000 0.0000 0.0000
Tc 0.7500 0.2500 0.5000
Y 0.5000 0.5000 0.0000
Ta 0.2500 0.7500 0.5000
CELL_PARAMETERS angstrom
3.8154 0.0000 0.0000
0.0000 3.8154 0.0000
-1.9077 -1.9077 4.8153



! Y2Ga2Fe15, PBEsol geometry, DFT meta-GGA SCAN; values from VASP
! Volume, Å³/atom: 12.576
! Space group: R-3m, No. 166
! Energy relative to the elements, eV per atom: -0.02
! Crystal system: trigonal
! N(E_F), states/eV per atom: 0.825
&SYSTEM
  ibrav = 0, nat = 19, ntyp = 3
/
ATOMIC_SPECIES
Fe 55.84 Fe.upf
Ga 69.72 Ga.upf
Y 88.91 Y.upf
ATOMIC_POSITIONS crystal
Fe 0.6977 0.0000 0.3023
Fe 0.6977 0.3023 0.0000
Fe 0.1599 0.6591 0.6591
Fe 0.0000 0.0000 0.5000
Fe 0.8401 0.3409 0.3409
Fe 0.3023 0.0000 0.6977
Fe 0.3409 0.8401 0.3409
Fe 0.6591 0.6591 0.1599
Fe 0.3023 0.6977 0.0000
Fe 0.0000 0.5000 0.0000
Fe 0.5000 0.0000 0.0000
Fe 0.0000 0.3023 0.6977
Fe 0.3409 0.3409 0.8401
Fe 0.0000 0.6977 0.3023
Fe 0.6591 0.1599 0.6591
Ga 0.8980 0.8980 0.8980
Ga 0.1020 0.1020 0.1020
Y 0.3463 0.3463 0.3463
Y 0.6537 0.6537 0.6537
CELL_PARAMETERS angstrom
6.2598 0.0161 0.0143
0.8418 6.2030 0.0143
0.8418 0.7372 6.1590



! Mn3HS, PBEsol geometry, DFT meta-GGA SCAN; values from VASP
! Volume, Å³/atom: 8.952
! Space group: Pm-3m, No. 221
! Crystal system: cubic
! N(E_F), states/eV per atom: 1.069
&SYSTEM
  ibrav = 0, nat = 5, ntyp = 3
/
ATOMIC_SPECIES
S 32.06 S.upf
H 1.01 H.upf
Mn 54.94 Mn.upf
ATOMIC_POSITIONS crystal
S 0.5000 0.5000 0.5000
H 0.0000 0.0000 0.0000
Mn 0.5000 0.0000 0.0000
Mn 0.0000 0.0000 0.5000
Mn 0.0000 0.5000 0.0000
CELL_PARAMETERS angstrom
-0.6647 -0.9800 3.3473
1.7795 -3.0259 -0.5326
2.9997 1.5779 1.0576



! MnCuSi2, PBEsol geometry, DFT meta-GGA SCAN; values from VASP
! Volume, Å³/atom: 11.888
! Space group: C2/m, No. 12
! Raw formation energy, kcal/mol of atoms: -0.98
! Crystal system: monoclinic
! N(E_F), states/eV per atom: 0.358
&SYSTEM
  ibrav = 0, nat = 4, ntyp = 3
/
ATOMIC_SPECIES
Mn 54.94 Mn.upf
Si 28.09 Si.upf
Cu 63.55 Cu.upf
ATOMIC_POSITIONS crystal
Mn 0.5000 0.0000 0.0000
Si 0.7566 0.5131 0.7727
Si 0.2434 0.4869 0.2273
Cu 0.0000 0.0000 0.5000
CELL_PARAMETERS angstrom
-2.1942 -0.4606 -1.5429
0.3201 -2.9628 2.8295
-2.3304 3.1715 2.3673



! Fe2RhSe, PBEsol geometry, DFT meta-GGA SCAN; values from VASP
! Volume, Å³/atom: 12.019
! Space group: P4/mmm, No. 123
! Raw formation energy, kcal/mol of atoms: 4.67
! Crystal system: tetragonal
! N(E_F), states/eV per atom: 0.585
&SYSTEM
  ibrav = 0, nat = 4, ntyp = 3
/
ATOMIC_SPECIES
Fe 55.84 Fe.upf
Rh 102.91 Rh.upf
Se 78.96 Se.upf
ATOMIC_POSITIONS crystal
Fe 0.0000 0.0000 0.5000
Fe 0.0000 0.5000 0.0000
Rh 0.5000 0.5000 0.5000
Se 0.5000 0.0000 0.0000
CELL_PARAMETERS angstrom
-1.9572 -0.5955 2.9167
0.7296 -3.5920 -0.2438
2.9815 0.4633 2.0953



! TaAl2OsRu, PBEsol geometry, DFT meta-GGA SCAN; values from VASP
! Volume, Å³/atom: 19.572
! Space group: P4/mmm, No. 123
! Energy relative to the elements, eV per atom: 0.84
! Crystal system: tetragonal
! N(E_F), states/eV per atom: 0.831
&SYSTEM
  ibrav = 0, nat = 5, ntyp = 4
/
ATOMIC_SPECIES
Ta 180.95 Ta.upf
Ru 101.07 Ru.upf
Os 190.23 Os.upf
Al 26.98 Al.upf
ATOMIC_POSITIONS crystal
Ta 0.0000 0.0000 0.5000
Ru 0.5000 0.5000 0.5000
Os 0.0000 0.0000 0.0000
Al 0.5000 0.0000 0.0000
Al 0.0000 0.5000 0.0000
CELL_PARAMETERS angstrom
-1.7118 1.2491 3.9910
-3.9536 -1.8889 -1.1046
1.4455 -4.1473 1.9181



! CrIn2As, PBEsol geometry, DFT meta-GGA SCAN; values from VASP
! Volume, Å³/atom: 19.680
! Space group: Cmmm, No. 65
! Energy relative to the elements, eV per atom: 0.19
! Crystal system: orthorhombic
! N(E_F), states/eV per atom: 0.425
&SYSTEM
  ibrav = 0, nat = 4, ntyp = 3
/
ATOMIC_SPECIES
Cr 52.00 Cr.upf
In 114.82 In.upf
As 74.92 As.upf
ATOMIC_POSITIONS crystal
Cr 0.5000 0.5000 0.5000
In 0.0000 0.0000 0.5000
In 0.0000 0.5000 0.0000
As 0.5000 0.0000 0.0000
CELL_PARAMETERS angstrom
-2.6271 1.5910 -0.7017
-2.7934 -4.2572 0.8054
0.4421 2.6661 4.3899



! LaAlAgSb2, PBEsol geometry, DFT meta-GGA SCAN; values from VASP
! Volume, Å³/atom: 39.253
! Space group: P4/mmm, No. 123
! Raw formation energy, kcal/mol of atoms: 19.10
! Crystal system: tetragonal
! N(E_F), states/eV per atom: 0.746
&SYSTEM
  ibrav = 0, nat = 5, ntyp = 4
/
ATOMIC_SPECIES
Ag 107.87 Ag.upf
Sb 121.76 Sb.upf
Al 26.98 Al.upf
La 138.91 La.upf
ATOMIC_POSITIONS crystal
Ag 0.5000 0.0000 0.0000
Sb 0.0000 0.5000 0.0000
Sb 0.0000 0.0000 0.5000
Al 0.5000 0.5000 0.5000
La 0.0000 0.0000 0.0000
CELL_PARAMETERS angstrom
-2.0178 -1.8109 -4.9233
0.5693 -5.5919 1.8235
-5.4859 0.1560 2.1909



Number 1: E_tot -46.574 eV per atom, ρ 5.923 g/cm3, total magnetic moment 0.0 Bohr magnetons per cell. Number 2: E_tot -28.225 eV per atom, ρ 7.686 g/cm3, total magnetic moment 0.3 Bohr magnetons per cell. Number 3: E_tot -15.687 eV per atom, ρ 5.097 g/cm3, total magnetic moment 0.3 Bohr magnetons per cell. Number 4: E_tot -37.344 eV per atom, ρ 5.519 g/cm3, total magnetic moment 4.3 Bohr magnetons per cell. Number 5: E_tot -10.572 eV per atom, ρ 3.445 g/cm3, total magnetic moment 4.0 Bohr magnetons per cell. Number 6: E_tot -40.853 eV per atom, ρ 11.036 g/cm3, total magnetic moment 0.0 Bohr magnetons per cell. Number 7: E_tot -18.983 eV per atom, ρ 8.026 g/cm3, total magnetic moment 34.5 Bohr magnetons per cell. Number 8: E_tot -13.467 eV per atom, ρ 7.341 g/cm3, total magnetic moment 7.7 Bohr magnetons per cell. Number 9: E_tot -13.414 eV per atom, ρ 6.099 g/cm3, total magnetic moment 1.9 Bohr magnetons per cell. Number 10: E_tot -22.325 eV per atom, ρ 10.140 g/cm3, total magnetic moment 6.8 Bohr magnetons per cell. Number 11: E_tot -36.923 eV per atom, ρ 8.929 g/cm3, total magnetic moment 1.6 Bohr magnetons per cell. Number 12: E_tot -26.147 eV per atom, ρ 7.521 g/cm3, total magnetic moment 4.1 Bohr magnetons per cell. Number 13: E_tot -30.521 eV per atom, ρ 4.377 g/cm3, total magnetic moment 0.0 Bohr magnetons per cell.